# 1
A plane-wave DFT calculation with GGA-PBE was carried out for a geometry-optimized Sr2WBr structure.

a = 3.472 Å, b = 3.473 Å, c = 9.824 Å
α = 69.33°, β = 90.00°, γ = 90.00°
Fractional coordinates of all 4 atoms:
Sr1 0.000 0.993 0.007
Sr2 0.000 0.507 0.493
W1 0.500 0.250 0.250
Br1 0.500 0.750 0.750

size of the total moment = 0.0 μB/cell
N(E_F) = 2.516 states/eV/cell
final energy = -4.324 eV/atom
energy relative to the elements, uncorrected = 0.174 eV per atom
crystal system = tetragonal
energy above the lowest structure with this stoichiometry = 0 meV per atom



# 2
A plane-wave DFT calculation with GGA-PBE was carried out for a geometry-optimized In5HgCl6 structure.

a = 7.635 Å, b = 7.389 Å, c = 7.389 Å
α = 109.88°, β = 98.17°, γ = 98.17°
Fractional coordinates of all 12 atoms:
Cl1 0.695 0.866 0.526
Cl2 0.305 0.134 0.474
In1 0.500 0.855 0.145
In2 0.000 0.307 0.693
In3 0.000 0.693 0.307
In4 0.500 0.145 0.855
Cl3 0.227 0.667 0.667
In5 0.500 0.500 0.500
Hg1 0.000 0.000 0.000
Cl4 0.695 0.526 0.866
Cl5 0.305 0.474 0.134
Cl6 0.773 0.333 0.333

size of the total moment = 0.0 μB/cell
N(E_F) = 5.460 states/eV/cell
final energy = -2.818 eV/atom
energy relative to the elements, uncorrected = -0.728 eV per atom
crystal system = monoclinic



# 3
A plane-wave DFT calculation with GGA-PBE was carried out for a geometry-optimized TbYErTm structure.

a = 5.641 Å, b = 5.641 Å, c = 5.641 Å
α = 60.00°, β = 60.00°, γ = 60.00°
Fractional coordinates of all 4 atoms:
Tb1 0.250 0.250 0.250
Tm1 0.000 0.000 0.000
Er1 0.500 0.500 0.500
Y1 0.750 0.750 0.750

formation enthalpy at 0 K = 135 meV/atom
size of the total moment = 0.0 μB/cell
N(E_F) = 9.807 states/eV/cell
final energy = -4.897 eV/atom
crystal system = cubic
energy above the lowest structure with this stoichiometry = 109 meV per atom